[1]
{"formula": "Li2SmPuSe4", "functional": "GGA-PBE", "state": "relaxed", "final_energy_ry_per_atom": -0.450, "magnetic_moment_mub_per_cell": 5.0, "volume_a3_per_atom": 24.1, "raw_formation_energy_ev_per_fu": -12.20, "lattice_angstrom": [[-1.002, 0.566, -3.987], [-6.911, -1.161, 1.572], [1.504, 6.718, 0.576]], "species": ["Se", "Sm", "Pu", "Se", "Li", "Se", "Li", "Se"], "frac_coords": [[0.000, 0.749, 0.254], [0.000, 0.000, 0.000], [0.500, 0.500, 0.000], [0.500, 0.254, 0.258], [0.000, 0.500, 0.500], [0.000, 0.251, 0.746], [0.500, 0.000, 0.500], [0.500, 0.746, 0.742]]}


[2]
{"formula": "SrZnBO2", "functional": "GGA-PBE", "state": "relaxed", "final_energy_ry_per_atom": -0.321, "magnetic_moment_mub_per_cell": 0.0, "volume_a3_per_atom": 14.0, "raw_formation_energy_ev_per_fu": -2.30, "lattice_angstrom": [[4.240, 0.000, 0.000], [0.000, 3.907, 0.000], [0.000, 0.000, 4.240]], "species": ["O", "B", "Sr", "Zn", "O"], "frac_coords": [[0.500, 0.000, 0.000], [0.000, 0.500, 0.000], [0.500, 0.500, 0.500], [0.000, 0.000, 0.000], [0.000, 0.000, 0.500]]}


[3]
{"formula": "NiBPC", "functional": "GGA-PBE", "state": "relaxed", "de_polymorph_ev_per_atom": 0.364, "final_energy_ry_per_atom": -0.466, "magnetic_moment_mub_per_cell": 0.0, "volume_a3_per_atom": 11.3, "delta_e_f_ev_per_atom": 0.4298, "lattice_angstrom": [[-2.022, 2.266, 0.728], [-1.655, -0.412, 3.416], [2.138, 3.583, 1.632]], "species": ["C", "B", "Ni", "P"], "frac_coords": [[0.017, 0.175, 0.035], [0.048, 0.392, 0.756], [0.413, 0.763, 0.658], [0.838, 0.143, 0.432]]}


[4]
{"formula": "Li2AcPrP2", "functional": "GGA-PBE", "state": "relaxed", "final_energy_ry_per_atom": -0.360, "magnetic_moment_mub_per_cell": 0.0, "volume_a3_per_atom": 21.5, "delta_e_f_ev_per_atom": -0.9779, "lattice_angstrom": [[4.220, 0.000, 0.000], [-2.110, 3.654, 0.000], [0.000, 0.000, 8.346]], "species": ["Ac", "P", "Li", "P", "Pr", "Li"], "frac_coords": [[0.000, 0.000, 0.000], [0.333, 0.667, 0.269], [0.333, 0.667, 0.740], [0.667, 0.333, 0.731], [0.000, 0.000, 0.500], [0.667, 0.333, 0.260]]}